A:
Si2SbSe: relaxed, PBEsol.

Cell and atoms, written as POSCAR:
```
Si2SbSe
1.0
-0.1924 3.1383 -2.3124
-2.9111 -2.3008 -2.8804
-2.5639 2.2317 3.2421
Si Se Sb
2 1 1
direct
0.0000 0.2488 0.7512
0.0000 0.7512 0.2488
0.5000 0.0000 0.0000
0.5000 0.5000 0.5000
```

* space-group type: No. 65

=====

B:
Si2SbSe: relaxed, PBEsol.

Cell and atoms, written as POSCAR:
```
Si2SbSe
1.0
3.8809 0.0000 0.0000
0.0000 3.8809 0.0000
-1.9405 -1.9405 5.3355
Se Sb Si
1 1 2
direct
0.2500 0.7500 0.5000
0.5000 0.5000 0.0000
0.0000 0.0000 0.0000
0.7500 0.2500 0.5000
```

* space-group type: No. 119

=====

The winner here is A, beating the second structure by 290 meV per atom.

=====

A:
Ta2SbSe: relaxed, PBEsol.

Cell and atoms, written as POSCAR:
```
Ta2SbSe
1.0
-2.0542 -1.7191 -1.9369
2.6968 -3.0972 2.7095
-3.8817 1.1799 3.0696
Se Ta Sb
1 2 1
direct
0.7380 0.4759 0.1554
0.0028 0.0057 0.0487
0.2534 0.5068 0.7512
0.5058 0.0117 0.5447
```

* space-group type: No. 8

=====

B:
Ta2SbSe: relaxed, PBEsol.

Cell and atoms, written as POSCAR:
```
Ta2SbSe
1.0
-0.0232 3.1923 -3.4967
-0.4812 -1.4137 -4.4931
-4.0086 0.9072 -2.3508
Ta Sb Se
2 1 1
direct
0.0000 0.0000 0.0000
0.7500 0.7500 0.7500
0.5000 0.5000 0.5000
0.2500 0.2500 0.2500
```

* space-group type: No. 216

=====

The winner here is A, beating the second structure by 530 meV per atom.

=====

A:
SbWSe: relaxed, PBEsol.

Cell and atoms, written as POSCAR:
```
SbWSe
1.0
-0.2749 2.4072 1.9459
-3.0321 -0.6023 0.3168
2.9632 -4.8379 3.9221
W Se Sb
1 1 1
direct
0.6797 0.6797 0.3594
0.2883 0.2883 0.5767
0.0320 0.0320 0.0640
```

* space-group type: No. 107

=====

B:
SbWSe: relaxed, PBEsol.

Cell and atoms, written as POSCAR:
```
SbWSe
1.0
3.1806 0.0000 0.0000
-1.5903 2.7544 0.0000
0.0000 0.0000 7.5612
Sb Se W
1 1 1
direct
0.0000 0.0000 0.0618
0.3333 0.6667 0.5812
0.6667 0.3333 0.3570
```

* space-group type: No. 156

=====

The winner here is B, beating the second structure by 72 meV per atom.

=====

A:
Y2SbSe: relaxed, PBEsol.

Cell and atoms, written as POSCAR:
```
Y2SbSe
1.0
-1.2689 3.1851 -2.3976
-4.0019 0.2556 -1.1927
-3.1868 4.7737 4.3780
Sb Y Se
1 2 1
direct
0.0000 0.0000 0.0000
0.2456 0.2456 0.2631
0.7544 0.7544 0.7369
0.5000 0.5000 0.5000
```

* space-group type: No. 166

=====

B:
Y2SbSe: relaxed, PBEsol.

Cell and atoms, written as POSCAR:
```
Y2SbSe
1.0
4.2065 0.0000 0.0000
0.0000 4.2065 0.0000
-2.1033 -2.1033 5.6195
Y Se Sb
2 1 1
direct
0.7500 0.2500 0.5000
0.0000 0.0000 0.0000
0.2500 0.7500 0.5000
0.5000 0.5000 0.0000
```

* space-group type: No. 119

=====

C:
Y2SbSe: relaxed, PBEsol.

Cell and atoms, written as POSCAR:
```
Y2SbSe
1.0
-1.8401 -2.3706 2.9240
-0.5144 -3.0658 -2.8093
5.2615 -2.2473 1.4891
Se Y Sb
1 2 1
direct
0.0000 0.0000 0.5000
0.0000 0.0000 0.0000
0.5000 0.5000 0.5000
0.5000 0.5000 0.0000
```

* space-group type: No. 123

=====

The winner here is A, beating the second structure by 13 meV per atom.

=====

A:
ZnSbSe2: relaxed, PBEsol.

Cell and atoms, written as POSCAR:
```
ZnSbSe2
1.0
-0.2830 -0.0471 -3.3920
-3.2903 -3.1625 0.3184
-3.6381 3.8104 0.2506
Se Zn Sb
2 1 1
direct
0.0000 0.0000 0.0000
0.5000 0.5000 0.0000
0.5000 0.0000 0.5000
0.0000 0.5000 0.5000
```

* space-group type: No. 47

=====

B:
ZnSbSe2: relaxed, PBEsol.

Cell and atoms, written as POSCAR:
```
ZnSbSe2
1.0
-0.5871 3.8067 0.1307
-0.3935 1.7735 3.3990
6.3723 2.8849 1.4173
Se Sb Zn
2 1 1
direct
0.2394 0.2394 0.2818
0.7606 0.7606 0.7182
0.0000 0.0000 0.0000
0.5000 0.5000 0.5000
```

* space-group type: No. 166

=====

The winner here is B, beating the second structure by 425 meV per atom.

=====

A:
ZrSbSe3: relaxed, PBEsol.

Cell and atoms, written as POSCAR:
```
ZrSbSe3
1.0
5.1208 0.0000 0.0000
0.0000 5.1208 0.0000
0.0000 0.0000 5.1208
Se Zr Sb
3 1 1
direct
0.0000 0.0000 0.5000
0.0000 0.5000 0.0000
0.5000 0.0000 0.0000
0.0000 0.0000 0.0000
0.5000 0.5000 0.5000
```

* space-group type: No. 221

=====

B:
ZrSbSe3: relaxed, PBEsol.

Cell and atoms, written as POSCAR:
```
ZrSbSe3
1.0
5.1407 0.0000 0.0000
0.0000 5.1407 0.0000
0.0000 0.0000 5.1407
Sb Zr Se
1 1 3
direct
0.0000 0.0000 0.0000
0.5000 0.5000 0.5000
0.5000 0.0000 0.0000
0.0000 0.5000 0.0000
0.0000 0.0000 0.5000
```

* space-group type: No. 221

=====

The winner here is A, beating the second structure by 689 meV per atom.

=====

A:
Si2Sb: relaxed, PBEsol.

Cell and atoms, written as POSCAR:
```
Si2Sb
1.0
-2.9034 -1.5512 0.1552
0.9508 -1.5019 2.7749
-1.2891 6.0916 1.7820
Si Sb
2 1
direct
0.2762 0.2762 0.5524
0.7238 0.7238 0.4476
0.5000 0.5000 0.0000
```

* space-group type: No. 139

=====

B:
Si2Sb: relaxed, PBEsol.

Cell and atoms, written as POSCAR:
```
Si2Sb
1.0
3.7900 0.0000 0.0000
-1.8950 3.2823 0.0000
0.0000 0.0000 4.7582
Sb Si
1 2
direct
0.0000 0.0000 0.0000
0.3333 0.6667 0.6168
0.6667 0.3333 0.3832
```

* space-group type: No. 164

=====

C:
Si2Sb: relaxed, PBEsol.

Cell and atoms, written as POSCAR:
```
Si2Sb
1.0
-2.4321 -4.1956 -0.4487
4.7850 -0.0440 0.9067
-1.0375 0.0158 5.4758
Si Sb
4 2
direct
0.0000 0.0000 0.5000
0.0000 0.0000 0.0000
0.6667 0.3333 0.2500
0.3333 0.6667 0.7500
0.3333 0.6667 0.2500
0.6667 0.3333 0.7500
```

* space-group type: No. 194

=====

The winner here is B, beating the second structure by 108 meV per atom.

=====

A:
Si2Sb: relaxed, PBEsol.

Cell and atoms, written as POSCAR:
```
Si2Sb
1.0
-0.3343 -2.6855 -2.4160
6.1291 -0.7806 0.0195
-3.3665 -1.9505 5.3574
Si Sb
4 2
direct
0.8312 0.1017 0.6623
0.5262 0.8403 0.0524
0.4738 0.1597 0.9476
0.1688 0.8983 0.3377
0.8553 0.5484 0.7107
0.1447 0.4516 0.2893
```

* space-group type: No. 12

=====

B:
Si2Sb: relaxed, PBEsol.

Cell and atoms, written as POSCAR:
```
Si2Sb
1.0
3.7439 0.0000 0.0000
0.0000 4.2123 0.0000
0.0000 -2.1061 3.6480
Si Sb
2 1
direct
0.5000 0.6667 0.3333
0.5000 0.3333 0.6667
0.0000 0.0000 0.0000
```

* space-group type: No. 191

=====

The winner here is A, beating the second structure by 193 meV per atom.